Entry 1:
{
  "formula": "CeTmGa2Pd2",
  "functional": "GGA-PBE",
  "state": "relaxed",
  "cell": [[-2.241, 3.561, 1.655], [-0.903, -1.500, -4.168], [-4.761, -4.174, 2.533]],
  "species": ["Ce", "Tm", "Ga", "Ga", "Pd", "Pd"],
  "frac_coords": [[0.000, 0.000, 0.000], [0.000, 0.000, 0.500], [0.667, 0.333, 0.732], [0.333, 0.667, 0.268], [0.667, 0.333, 0.271], [0.333, 0.667, 0.729]],
  "ef_ev_per_fu": -4.92,
  "n_ef_per_ev_atom": 1.024,
  "sg": "P-3m1, No. 164"
}

***

Entry 2:
{
  "formula": "ZnInSnO4",
  "functional": "GGA-PBE",
  "state": "relaxed",
  "cell": [[6.486, 0.000, 0.000], [3.243, 5.627, 0.077], [3.243, 1.787, 5.336]],
  "species": ["Zn", "Zn", "In", "In", "Sn", "Sn", "O", "O", "O", "O", "O", "O", "O", "O"],
  "frac_coords": [[0.628, 0.622, 0.122], [0.372, 0.378, 0.878], [0.500, 0.000, 0.500], [0.000, 0.000, 0.500], [0.000, 0.000, 0.000], [0.000, 0.500, 0.500], [0.760, 0.753, 0.727], [0.240, 0.773, 0.747], [0.760, 0.227, 0.253], [0.240, 0.247, 0.273], [0.229, 0.754, 0.254], [0.763, 0.754, 0.254], [0.237, 0.246, 0.746], [0.771, 0.246, 0.746]],
  "n_ef_per_ev_atom": 0.107,
  "sg": "Imma, No. 74",
  "e_form_raw_ev_per_atom": -1.3713
}

***

Entry 3:
{
  "formula": "Ta2CoTe",
  "functional": "GGA-PBE",
  "state": "relaxed",
  "cell": [[3.314, 0.029, 0.000], [-0.029, 3.314, 0.000], [0.000, 0.000, 6.458]],
  "species": ["Co", "Ta", "Ta", "Te"],
  "frac_coords": [[0.500, 0.500, 0.794], [0.000, 0.000, 0.964], [0.500, 0.500, 0.240], [0.000, 0.000, 0.502]],
  "n_ef_per_ev_atom": 0.584,
  "sg": "P4mm, No. 99",
  "e_form_raw_ev_per_atom": 0.0583
}

***

Entry 4:
{
  "formula": "Be2TcSb",
  "functional": "GGA-PBE",
  "state": "relaxed",
  "cell": [[-4.284, 1.251, -0.414], [-3.750, -0.392, 2.425], [-0.374, 3.681, 2.201]],
  "species": ["Sb", "Tc", "Be", "Be"],
  "frac_coords": [[0.250, 0.250, 0.250], [0.750, 0.750, 0.750], [0.024, 0.024, 0.886], [0.476, 0.476, 0.614]],
  "n_ef_per_ev_atom": 0.383,
  "sg": "C2/m, No. 12",
  "e_form_raw_ev_per_atom": 0.2368
}

***

Entry 5:
{
  "formula": "RbTiTeI2",
  "functional": "GGA-PBE",
  "state": "relaxed",
  "cell": [[-5.082, -4.785, 0.872], [-0.597, -0.291, -5.077], [4.794, -5.141, -0.268]],
  "species": ["I", "I", "Te", "Rb", "Ti"],
  "frac_coords": [[0.000, 0.000, 0.500], [0.500, 0.000, 0.000], [0.000, 0.000, 0.000], [0.500, 0.500, 0.500], [0.000, 0.500, 0.000]],
  "n_ef_per_ev_atom": 0.727,
  "sg": "P4/mmm, No. 123",
  "e_form_raw_ev_per_atom": -0.1568,
  "relative_energy_ev_per_atom": 0.656
}

***

Entry 6:
{
  "formula": "CaTm3Te6",
  "functional": "GGA-PBE",
  "state": "relaxed",
  "cell": [[4.317, 0.000, 0.000], [0.000, 13.018, -0.426], [0.000, -4.760, 11.997]],
  "species": ["Ca", "Ca", "Tm", "Tm", "Tm", "Tm", "Tm", "Tm", "Te", "Te", "Te", "Te", "Te", "Te", "Te", "Te", "Te", "Te", "Te", "Te"],
  "frac_coords": [[0.750, 0.053, 0.714], [0.250, 0.947, 0.286], [0.750, 0.434, 0.839], [0.250, 0.566, 0.161], [0.750, 0.719, 0.478], [0.250, 0.281, 0.522], [0.750, 0.165, 0.094], [0.250, 0.835, 0.906], [0.750, 0.452, 0.614], [0.250, 0.548, 0.386], [0.750, 0.927, 0.088], [0.250, 0.073, 0.912], [0.750, 0.388, 0.058], [0.250, 0.612, 0.942], [0.750, 0.744, 0.252], [0.250, 0.256, 0.748], [0.750, 0.098, 0.462], [0.250, 0.902, 0.538], [0.750, 0.777, 0.731], [0.250, 0.223, 0.269]],
  "n_ef_per_ev_atom": 0.568,
  "sg": "P2_1/m, No. 11",
  "e_form_raw_ev_per_atom": -1.2810
}

***

> What is the formula in the fourth record?

Be2TcSb

***

> What is the formula in the third record?

Ta2CoTe